The following is a GGA-PBE calculation of an optimized crystal structure of CsK2HS, from Alexandria.

Cell and atoms, written as extended XYZ:
```
5
Lattice="5.222 0.000 0.000 0.000 5.222 0.000 0.000 0.000 5.588" Properties=species:S:1:pos:R:3 pbc="T T T"
Cs 0.000 0.000 0.000
K 0.000 2.611 2.794
K 2.611 0.000 2.794
H 0.000 0.000 2.794
S 2.611 2.611 0.000
```

- Crystal system: tetragonal
- Space-group type: No. 123
- Volume: 30.5 A^3/atom
- Uncorrected energy: -2.68 eV per atom